w) DFT (PBE) results for CdReN2F after structural relaxation.

Cell lengths 3.9125, 3.9125, 4.2653 Å; angles 90.00, 90.00, 90.00 degrees
Last column: nearest neighbours and their distance in Å.
Positions (direct):
Cd (0.0000, 0.0000, 0.0000)  4 F 2.77, 8 N 2.89
Re (0.5000, 0.5000, 0.5000)  4 N 1.96, 2 F 2.13
N (0.0000, 0.5000, 0.5000)  2 Re 1.96
N (0.5000, 0.0000, 0.5000)  2 Re 1.96
F (0.5000, 0.5000, 0.0000)  2 Re 2.13

Properties
For the theoretical density, the calculation gives 8.79 g/cm3. The value obtained for the total magnetization is 0.00 μB/cell. Its space-group type is P4/mmm, No. 123.

x) DFT (PBE) results for CdReN2F after structural relaxation.

Cell lengths 4.2402, 4.2402, 4.1352 Å; angles 90.00, 90.00, 90.00 degrees
Last column: nearest neighbours and their distance in Å.
Positions (direct):
Cd (0.0000, 0.0000, 0.0000)  2 F 2.07, 4 N 2.12
Re (0.5000, 0.5000, 0.5000)  8 N 2.96, 4 F 3.00
N (0.0000, 0.5000, 0.0000)  2 Cd 2.12
N (0.5000, 0.0000, 0.0000)  2 Cd 2.12
F (0.0000, 0.0000, 0.5000)  2 Cd 2.07

Properties
For the theoretical density, the calculation gives 7.72 g/cm3. The value obtained for the total magnetization is 2.85 μB/cell. Its space-group type is P4/mmm, No. 123.

Most stable to least stable, the ends of the list are w) and x).

w) DFT (PBE) results for CdRhNF2 after structural relaxation.

Cell lengths 4.3400, 4.3400, 4.3772 Å; angles 90.00, 90.00, 90.00 degrees
Last column: nearest neighbours and their distance in Å.
Positions (direct):
Cd (0.0000, 0.0000, 0.0000)  4 F 2.17, 2 N 2.19
Rh (0.5000, 0.5000, 0.5000)  4 N 3.07, 8 F 3.08
N (0.0000, 0.0000, 0.5000)  2 Cd 2.19
F (0.0000, 0.5000, 0.0000)  2 Cd 2.17
F (0.5000, 0.0000, 0.0000)  2 Cd 2.17

Properties
For the theoretical density, the calculation gives 5.38 g/cm3. The value obtained for the total magnetization is 3.84 μB/cell. Its space-group type is P4/mmm, No. 123.

x) DFT (PBE) results for CdRhNF2 after structural relaxation.

Cell lengths 4.4413, 4.4413, 3.6863 Å; angles 90.00, 90.00, 90.00 degrees
Last column: nearest neighbours and their distance in Å.
Positions (direct):
Cd (0.0000, 0.0000, 0.0000)  8 F 2.89, 4 N 3.14
Rh (0.5000, 0.5000, 0.5000)  2 N 1.84
N (0.5000, 0.5000, 0.0000)  2 Rh 1.84
F (0.0000, 0.5000, 0.5000)  2 Rh 2.22
F (0.5000, 0.0000, 0.5000)  2 Rh 2.22

Properties
For the theoretical density, the calculation gives 6.10 g/cm3. The value obtained for the total magnetization is 0.14 μB/cell. Its space-group type is P4/mmm, No. 123.

Most stable to least stable, the ends of the list are x) and w).

w) DFT (PBE) results for CdRuNF2 after structural relaxation.

Cell lengths 4.3188, 4.3188, 3.7529 Å; angles 90.00, 90.00, 90.00 degrees
Last column: nearest neighbours and their distance in Å.
Positions (direct):
Cd (0.0000, 0.0000, 0.0000)  8 F 2.86, 4 N 3.05
Ru (0.5000, 0.5000, 0.5000)  2 N 1.88
N (0.5000, 0.5000, 0.0000)  2 Ru 1.88
F (0.0000, 0.5000, 0.5000)  2 Ru 2.16
F (0.5000, 0.0000, 0.5000)  2 Ru 2.16

Properties
For the theoretical density, the calculation gives 6.30 g/cm3. The value obtained for the total magnetization is 0.00 μB/cell. Its space-group type is P4/mmm, No. 123.

x) DFT (PBE) results for CdRuNF2 after structural relaxation.

Cell lengths 4.2921, 4.2921, 4.3733 Å; angles 90.00, 90.00, 90.00 degrees
Last column: nearest neighbours and their distance in Å.
Positions (direct):
Cd (0.0000, 0.0000, 0.0000)  4 F 2.15, 2 N 2.19
Ru (0.5000, 0.5000, 0.5000)  4 N 3.03, 8 F 3.06
N (0.0000, 0.0000, 0.5000)  2 Cd 2.19
F (0.0000, 0.5000, 0.0000)  2 Cd 2.15
F (0.5000, 0.0000, 0.0000)  2 Cd 2.15

Properties
For the theoretical density, the calculation gives 5.47 g/cm3. The value obtained for the total magnetization is 4.65 μB/cell. Its space-group type is P4/mmm, No. 123.

Most stable to least stable, the ends of the list are w) and x).

w) DFT (PBE) results for CdRuN2F after structural relaxation.

Cell lengths 3.8509, 3.8509, 4.3726 Å; angles 90.00, 90.00, 90.00 degrees
Last column: nearest neighbours and their distance in Å.
Positions (direct):
Cd (0.0000, 0.0000, 0.0000)  4 F 2.72, 8 N 2.91
Ru (0.5000, 0.5000, 0.5000)  4 N 1.93
N (0.0000, 0.5000, 0.5000)  2 Ru 1.93
N (0.5000, 0.0000, 0.5000)  2 Ru 1.93
F (0.5000, 0.5000, 0.0000)  2 Ru 2.19

Properties
For the theoretical density, the calculation gives 6.67 g/cm3. The value obtained for the total magnetization is 0.00 μB/cell. Its space-group type is P4/mmm, No. 123.

x) DFT (PBE) results for CdRuN2F after structural relaxation.

Cell lengths 4.1742, 4.1742, 4.2080 Å; angles 90.00, 90.00, 90.00 degrees
Last column: nearest neighbours and their distance in Å.
Positions (direct):
Cd (0.0000, 0.0000, 0.0000)  4 N 2.09, 2 F 2.10
Ru (0.5000, 0.5000, 0.5000)  4 F 2.95, 8 N 2.96
N (0.0000, 0.5000, 0.0000)  2 Cd 2.09
N (0.5000, 0.0000, 0.0000)  2 Cd 2.09
F (0.0000, 0.0000, 0.5000)  2 Cd 2.10

Properties
For the theoretical density, the calculation gives 5.90 g/cm3. The value obtained for the total magnetization is 3.75 μB/cell. Its space-group type is P4/mmm, No. 123.

Most stable to least stable, the ends of the list are w) and x).

w) DFT (PBE) results for CdSNF2 after structural relaxation.

Cell lengths 4.2361, 4.2361, 4.8381 Å; angles 90.00, 90.00, 90.00 degrees
Last column: nearest neighbours and their distance in Å.
Positions (direct):
Cd (0.0000, 0.0000, 0.0000)  4 F 2.12
S (0.5000, 0.5000, 0.5000)  4 N 3.00, 8 F 3.22
N (0.0000, 0.0000, 0.5000)  2 Cd 2.42
F (0.0000, 0.5000, 0.0000)  2 Cd 2.12
F (0.5000, 0.0000, 0.0000)  2 Cd 2.12

Properties
For the theoretical density, the calculation gives 3.76 g/cm3. The value obtained for the total magnetization is 2.20 μB/cell. Its space-group type is P4/mmm, No. 123.

x) DFT (PBE) results for CdSNF2 after structural relaxation.

Cell lengths 4.7285, 4.7285, 3.2898 Å; angles 90.00, 90.00, 90.00 degrees
Last column: nearest neighbours and their distance in Å.
Positions (direct):
Cd (0.0000, 0.0000, 0.0000)  8 F 2.88
S (0.5000, 0.5000, 0.5000)  2 N 1.64
N (0.5000, 0.5000, 0.0000)  2 S 1.64
F (0.0000, 0.5000, 0.5000)  2 S 2.36
F (0.5000, 0.0000, 0.5000)  2 S 2.36

Properties
For the theoretical density, the calculation gives 4.44 g/cm3. The value obtained for the total magnetization is 0.00 μB/cell. Its space-group type is P4/mmm, No. 123.

Most stable to least stable, the ends of the list are x) and w).

w) DFT (PBE) results for CdSbNF2 after structural relaxation.

Cell lengths 4.2110, 4.2110, 4.6353 Å; angles 90.00, 90.00, 90.00 degrees
Last column: nearest neighbours and their distance in Å.
Positions (direct):
Cd (0.0000, 0.0000, 0.0000)  4 F 2.11, 2 N 2.32
Sb (0.5000, 0.5000, 0.5000)  4 N 2.98, 8 F 3.13
N (0.0000, 0.0000, 0.5000)  2 Cd 2.32
F (0.0000, 0.5000, 0.0000)  2 Cd 2.11
F (0.5000, 0.0000, 0.0000)  2 Cd 2.11

Properties
For the theoretical density, the calculation gives 5.78 g/cm3. The value obtained for the total magnetization is 0.00 μB/cell. Its space-group type is P4/mmm, No. 123.

x) DFT (PBE) results for CdSbNF2 after structural relaxation.

Cell lengths 4.4905, 4.4905, 4.1374 Å; angles 90.00, 90.00, 90.00 degrees
Last column: nearest neighbours and their distance in Å.
Positions (direct):
Cd (0.0000, 0.0000, 0.0000)  8 F 3.05, 4 N 3.18
Sb (0.5000, 0.5000, 0.5000)  2 N 2.07, 4 F 2.25
N (0.5000, 0.5000, 0.0000)  2 Sb 2.07
F (0.0000, 0.5000, 0.5000)  2 Sb 2.25
F (0.5000, 0.0000, 0.5000)  2 Sb 2.25

Properties
For the theoretical density, the calculation gives 5.70 g/cm3. The value obtained for the total magnetization is 0.00 μB/cell. Its space-group type is P4/mmm, No. 123.

Most stable to least stable, the ends of the list are x) and w).

w) DFT (PBE) results for CdSnN2F after structural relaxation.

Cell lengths 4.1519, 4.1519, 4.1802 Å; angles 90.00, 90.00, 90.00 degrees
Last column: nearest neighbours and their distance in Å.
Positions (direct):
Cd (0.0000, 0.0000, 0.0000)  4 F 2.94, 8 N 2.95
Sn (0.5000, 0.5000, 0.5000)  4 N 2.08, 2 F 2.09
N (0.0000, 0.5000, 0.5000)  2 Sn 2.08
N (0.5000, 0.0000, 0.5000)  2 Sn 2.08
F (0.5000, 0.5000, 0.0000)  2 Sn 2.09

Properties
For the theoretical density, the calculation gives 6.41 g/cm3. The value obtained for the total magnetization is 0.50 μB/cell. Its space-group type is P4/mmm, No. 123.

x) DFT (PBE) results for CdSnN2F after structural relaxation.

Cell lengths 4.2965, 4.2965, 4.4430 Å; angles 90.00, 90.00, 90.00 degrees
Last column: nearest neighbours and their distance in Å.
Positions (direct):
Cd (0.0000, 0.0000, 0.0000)  4 N 2.15, 2 F 2.22
Sn (0.5000, 0.5000, 0.5000)  4 F 3.04, 8 N 3.09
N (0.0000, 0.5000, 0.0000)  2 Cd 2.15
N (0.5000, 0.0000, 0.0000)  2 Cd 2.15
F (0.0000, 0.0000, 0.5000)  2 Cd 2.22

Properties
For the theoretical density, the calculation gives 5.63 g/cm3. The value obtained for the total magnetization is 2.45 μB/cell. Its space-group type is P4/mmm, No. 123.

Most stable to least stable, the ends of the list are w) and x).

w) DFT (PBE) results for SrCdNF2 after structural relaxation.

Cell lengths 4.5829, 4.5829, 5.2538 Å; angles 90.00, 90.00, 90.00 degrees
Last column: nearest neighbours and their distance in Å.
Positions (direct):
Sr (0.0000, 0.0000, 0.0000)  4 F 2.29
Cd (0.5000, 0.5000, 0.5000)  4 N 3.24, 8 F 3.49
N (0.0000, 0.0000, 0.5000)  2 Sr 2.63
F (0.0000, 0.5000, 0.0000)  2 Sr 2.29
F (0.5000, 0.0000, 0.0000)  2 Sr 2.29

Properties
For the theoretical density, the calculation gives 3.79 g/cm3. The value obtained for the total magnetization is 1.56 μB/cell. Its space-group type is P4/mmm, No. 123.

x) DFT (PBE) results for SrCdNF2 after structural relaxation.

Cell lengths 4.4963, 4.4963, 4.3025 Å; angles 90.00, 90.00, 90.00 degrees
Last column: nearest neighbours and their distance in Å.
Positions (direct):
Sr (0.0000, 0.0000, 0.0000)  8 F 3.11, 4 N 3.18
Cd (0.5000, 0.5000, 0.5000)  2 N 2.15, 4 F 2.25
N (0.5000, 0.5000, 0.0000)  2 Cd 2.15
F (0.0000, 0.5000, 0.5000)  2 Cd 2.25
F (0.5000, 0.0000, 0.5000)  2 Cd 2.25

Properties
For the theoretical density, the calculation gives 4.81 g/cm3. The value obtained for the total magnetization is 0.96 μB/cell. Its space-group type is P4/mmm, No. 123.

Most stable to least stable, the ends of the list are x) and w).

w) DFT (PBE) results for TaCdNF2 after structural relaxation.

Cell lengths 4.2569, 4.2569, 4.0328 Å; angles 90.00, 90.00, 90.00 degrees
Last column: nearest neighbours and their distance in Å.
Positions (direct):
Ta (0.0000, 0.0000, 0.0000)  2 N 2.02, 4 F 2.13
Cd (0.5000, 0.5000, 0.5000)  8 F 2.93, 4 N 3.01
N (0.0000, 0.0000, 0.5000)  2 Ta 2.02
F (0.0000, 0.5000, 0.0000)  2 Ta 2.13
F (0.5000, 0.0000, 0.0000)  2 Ta 2.13

Properties
For the theoretical density, the calculation gives 7.85 g/cm3. The value obtained for the total magnetization is 0.00 μB/cell. Its space-group type is P4/mmm, No. 123.

x) DFT (PBE) results for TaCdNF2 after structural relaxation.

Cell lengths 4.0209, 4.0209, 4.9720 Å; angles 90.00, 90.00, 90.00 degrees
Last column: nearest neighbours and their distance in Å.
Positions (direct):
Ta (0.0000, 0.0000, 0.0000)  4 N 2.84
Cd (0.5000, 0.5000, 0.5000)  4 F 2.01
N (0.5000, 0.5000, 0.0000)  2 Cd 2.49
F (0.0000, 0.5000, 0.5000)  2 Cd 2.01
F (0.5000, 0.0000, 0.5000)  2 Cd 2.01

Properties
For the theoretical density, the calculation gives 7.13 g/cm3. The value obtained for the total magnetization is 1.96 μB/cell. Its space-group type is P4/mmm, No. 123.

Most stable to least stable, the ends of the list are w) and x).

w) DFT (PBE) results for CdTe2NF after structural relaxation.

Cell lengths 5.6255, 5.6255, 4.0201 Å; angles 90.00, 90.00, 90.00 degrees
Last column: nearest neighbours and their distance in Å.
Positions (direct):
Cd (0.0000, 0.0000, 0.0000)  2 N 2.01
Te (0.0000, 0.5000, 0.0000)  2 Cd 2.81
Te (0.5000, 0.0000, 0.0000)  2 Cd 2.81
N (0.0000, 0.0000, 0.5000)  2 Cd 2.01
F (0.5000, 0.5000, 0.5000)  8 Te 3.46

Properties
For the theoretical density, the calculation gives 5.23 g/cm3. The value obtained for the total magnetization is 0.00 μB/cell. Its space-group type is P4/mmm, No. 123.

x) DFT (PBE) results for CdTe2NF after structural relaxation.

Cell lengths 4.8752, 4.8752, 4.3128 Å; angles 90.00, 90.00, 90.00 degrees
Last column: nearest neighbours and their distance in Å.
Positions (direct):
Cd (0.0000, 0.0000, 0.0000)  8 Te 3.25, 4 N 3.45
Te (0.0000, 0.5000, 0.5000)  2 F 2.44
Te (0.5000, 0.0000, 0.5000)  2 F 2.44
N (0.5000, 0.5000, 0.0000)  2 F 2.16
F (0.5000, 0.5000, 0.5000)  2 N 2.16

Properties
For the theoretical density, the calculation gives 6.49 g/cm3. The value obtained for the total magnetization is 0.00 μB/cell. Its space-group type is P4/mmm, No. 123.

Most stable to least stable, the ends of the list are x) and w).

w) DFT (PBE) results for CdTeNF2 after structural relaxation.

Cell lengths 4.6249, 4.6249, 4.1312 Å; angles 90.00, 90.00, 90.00 degrees
Last column: nearest neighbours and their distance in Å.
Positions (direct):
Cd (0.0000, 0.0000, 0.0000)  8 F 3.10, 4 N 3.27
Te (0.5000, 0.5000, 0.5000)  2 N 2.07, 4 F 2.31
N (0.5000, 0.5000, 0.0000)  2 Te 2.07
F (0.0000, 0.5000, 0.5000)  2 Te 2.31
F (0.5000, 0.0000, 0.5000)  2 Te 2.31

Properties
For the theoretical density, the calculation gives 5.49 g/cm3. The value obtained for the total magnetization is 0.00 μB/cell. Its space-group type is P4/mmm, No. 123.

x) DFT (PBE) results for CdTeNF2 after structural relaxation.

Cell lengths 4.2103, 4.2103, 4.7890 Å; angles 90.00, 90.00, 90.00 degrees
Last column: nearest neighbours and their distance in Å.
Positions (direct):
Cd (0.0000, 0.0000, 0.0000)  4 F 2.11
Te (0.5000, 0.5000, 0.5000)  4 N 2.98, 8 F 3.19
N (0.0000, 0.0000, 0.5000)  2 Cd 2.39
F (0.0000, 0.5000, 0.0000)  2 Cd 2.11
F (0.5000, 0.0000, 0.0000)  2 Cd 2.11

Properties
For the theoretical density, the calculation gives 5.71 g/cm3. The value obtained for the total magnetization is 1.01 μB/cell. Its space-group type is P4/mmm, No. 123.

Most stable to least stable, the ends of the list are w) and x).

w) DFT (PBE) results for TlCdNF2 after structural relaxation.

Cell lengths 4.6257, 4.6257, 4.4245 Å; angles 90.00, 90.00, 90.00 degrees
Last column: nearest neighbours and their distance in Å.
Positions (direct):
Tl (0.0000, 0.0000, 0.0000)  8 F 3.20, 4 N 3.27
Cd (0.5000, 0.5000, 0.5000)  2 N 2.21, 4 F 2.31
N (0.5000, 0.5000, 0.0000)  2 Cd 2.21
F (0.0000, 0.5000, 0.5000)  2 Cd 2.31
F (0.5000, 0.0000, 0.5000)  2 Cd 2.31

Properties
For the theoretical density, the calculation gives 6.47 g/cm3. The value obtained for the total magnetization is 2.00 μB/cell. Its space-group type is P4/mmm, No. 123.

x) DFT (PBE) results for TlCdNF2 after structural relaxation.

Cell lengths 4.4826, 4.4826, 4.3061 Å; angles 90.00, 90.00, 90.00 degrees
Last column: nearest neighbours and their distance in Å.
Positions (direct):
Tl (0.0000, 0.0000, 0.0000)  2 N 2.15, 4 F 2.24
Cd (0.5000, 0.5000, 0.5000)  8 F 3.11, 4 N 3.17
N (0.0000, 0.0000, 0.5000)  2 Tl 2.15
F (0.0000, 0.5000, 0.0000)  2 Tl 2.24
F (0.5000, 0.0000, 0.0000)  2 Tl 2.24

Properties
For the theoretical density, the calculation gives 7.08 g/cm3. The value obtained for the total magnetization is 0.00 μB/cell. Its space-group type is P4/mmm, No. 123.

Most stable to least stable, the ends of the list are w) and x).